Run i
A geometry-optimized BeRuCl structure. Source: the Alexandria database, functional PBE.

a b c (Å): 3.985 3.985 3.985
angles (deg): 60.00 60.00 60.00
Fractional coordinates of all 3 atoms:
Ru  0.750  0.750  0.750
Cl  0.500  0.500  0.500
Be  0.000  0.000  0.000

Values from the calculation:
Spin magnetization in μB/f.u.: 0.0
DOS at the Fermi energy in states/eV/f.u.: 3.3

---

Run ii
A geometry-optimized BeRuCl structure. Source: the Alexandria database, functional PBE.

a b c (Å): 4.064 4.064 2.858
angles (deg): 90.00 90.00 120.00
Fractional coordinates of all 3 atoms:
Cl  0.667  0.333  0.500
Ru  0.333  0.667  0.500
Be  0.000  0.000  0.000

Values from the calculation:
Spin magnetization in μB/f.u.: 0.0
DOS at the Fermi energy in states/eV/f.u.: 2.8

---

On energetic grounds, run ii is preferred over the next structure by 10.1 kJ/mol of atoms.

---

Run i
A geometry-optimized BeRuCl structure. Source: the Alexandria database, functional PBE.

a b c (Å): 6.273 6.273 6.273
angles (deg): 153.40 153.40 37.97
Fractional coordinates of all 3 atoms:
Ru  0.651  0.651  0.000
Be  0.055  0.055  0.000
Cl  0.295  0.295  0.000

Values from the calculation:
Spin magnetization in μB/f.u.: 0.6
DOS at the Fermi energy in states/eV/f.u.: 2.7

---

Run ii
A geometry-optimized BeRuCl structure. Source: the Alexandria database, functional PBE.

a b c (Å): 6.593 6.253 2.928
angles (deg): 83.42 70.40 26.17
Fractional coordinates of all 3 atoms:
Cl  0.370  0.370  0.630
Ru  0.641  0.641  0.359
Be  0.990  0.990  0.010

Values from the calculation:
Spin magnetization in μB/f.u.: 1.5
DOS at the Fermi energy in states/eV/f.u.: 2.6

---

Run iii
A geometry-optimized BeRuCl structure. Source: the Alexandria database, functional PBE.

a b c (Å): 2.833 2.833 7.244
angles (deg): 90.00 90.00 120.00
Fractional coordinates of all 3 atoms:
Cl  0.667  0.333  0.207
Ru  0.333  0.667  0.765
Be  0.000  0.000  0.028

Values from the calculation:
Spin magnetization in μB/f.u.: 0.4
DOS at the Fermi energy in states/eV/f.u.: 1.7

---

On energetic grounds, run iii is preferred over the next structure by 12.0 kJ/mol of atoms.

---

Run i
A geometry-optimized BeRuSCl2 structure. Source: the Alexandria database, functional PBE.

a b c (Å): 4.911 4.911 4.421
angles (deg): 90.00 90.00 90.00
Fractional coordinates of all 5 atoms:
S  0.000  0.000  0.500
Be  0.500  0.500  0.500
Ru  0.000  0.000  0.000
Cl  0.500  0.000  0.000
Cl  0.000  0.500  0.000

Values from the calculation:
Spin magnetization in μB/f.u.: 0.0
DOS at the Fermi energy in states/eV/f.u.: 2.4

---

Run ii
A geometry-optimized BeRuSCl2 structure. Source: the Alexandria database, functional PBE.

a b c (Å): 4.152 4.152 5.289
angles (deg): 90.00 90.00 90.00
Fractional coordinates of all 5 atoms:
Ru  0.500  0.500  0.500
S  0.000  0.000  0.500
Cl  0.500  0.000  0.000
Be  0.000  0.000  0.000
Cl  0.000  0.500  0.000

Values from the calculation:
Spin magnetization in μB/f.u.: 3.5
DOS at the Fermi energy in states/eV/f.u.: 2.5

---

On energetic grounds, run ii is preferred over the next structure by 13.7 kJ/mol of atoms.

---

Run i
A geometry-optimized BeRuS2Cl structure. Source: the Alexandria database, functional PBE.

a b c (Å): 4.553 4.553 4.914
angles (deg): 90.00 90.00 90.00
Fractional coordinates of all 5 atoms:
S  0.000  0.500  0.000
Be  0.500  0.500  0.500
Ru  0.000  0.000  0.000
S  0.500  0.000  0.000
Cl  0.000  0.000  0.500

Values from the calculation:
Spin magnetization in μB/f.u.: 0.0
DOS at the Fermi energy in states/eV/f.u.: 3.8

---

Run ii
A geometry-optimized BeRuS2Cl structure. Source: the Alexandria database, functional PBE.

a b c (Å): 4.392 4.392 4.254
angles (deg): 90.00 90.00 90.00
Fractional coordinates of all 5 atoms:
Be  0.000  0.000  0.000
Cl  0.000  0.000  0.500
S  0.000  0.500  0.000
Ru  0.500  0.500  0.500
S  0.500  0.000  0.000

Values from the calculation:
Spin magnetization in μB/f.u.: 2.8
DOS at the Fermi energy in states/eV/f.u.: 5.8

---

On energetic grounds, run ii is preferred over the next structure by 5.4 kJ/mol of atoms.

---

Run i
A geometry-optimized BeSbS2Cl structure. Source: the Alexandria database, functional PBE.

a b c (Å): 4.606 4.606 4.199
angles (deg): 90.00 90.00 90.00
Fractional coordinates of all 5 atoms:
Cl  0.000  0.000  0.500
Sb  0.500  0.500  0.500
S  0.000  0.500  0.000
S  0.500  0.000  0.000
Be  0.000  0.000  0.000

Values from the calculation:
Spin magnetization in μB/f.u.: 0.0
DOS at the Fermi energy in states/eV/f.u.: 1.6

---

Run ii
A geometry-optimized BeSbS2Cl structure. Source: the Alexandria database, functional PBE.

a b c (Å): 5.054 5.054 5.149
angles (deg): 90.00 90.00 90.00
Fractional coordinates of all 5 atoms:
Be  0.500  0.500  0.500
Cl  0.000  0.000  0.500
S  0.500  0.000  0.000
S  0.000  0.500  0.000
Sb  0.000  0.000  0.000

Values from the calculation:
Spin magnetization in μB/f.u.: 0.6
DOS at the Fermi energy in states/eV/f.u.: 3.2

---

On energetic grounds, run i is preferred over the next structure by 74.9 kJ/mol of atoms.

---

Run i
A geometry-optimized BeSeS2Cl structure. Source: the Alexandria database, functional PBE.

a b c (Å): 4.866 4.866 4.750
angles (deg): 90.00 90.00 90.00
Fractional coordinates of all 5 atoms:
S  0.000  0.500  0.000
Se  0.000  0.000  0.000
Be  0.500  0.500  0.500
Cl  0.000  0.000  0.500
S  0.500  0.000  0.000

Values from the calculation:
Spin magnetization in μB/f.u.: 0.0
DOS at the Fermi energy in states/eV/f.u.: 1.8

---

Run ii
A geometry-optimized BeSeS2Cl structure. Source: the Alexandria database, functional PBE.

a b c (Å): 4.548 4.548 4.131
angles (deg): 90.00 90.00 90.00
Fractional coordinates of all 5 atoms:
Se  0.500  0.500  0.500
S  0.000  0.500  0.000
Be  0.000  0.000  0.000
S  0.500  0.000  0.000
Cl  0.000  0.000  0.500

Values from the calculation:
Spin magnetization in μB/f.u.: 0.0
DOS at the Fermi energy in states/eV/f.u.: 2.4

---

On energetic grounds, run ii is preferred over the next structure by 57.3 kJ/mol of atoms.